## ZnCu4Au (PBE)

Data for crystalline ZnCu4Au at its relaxed geometry.

Properties
N(E_F)	2.55	states/eV per cell
total energy	-3.467	eV/atom
calculated formation energy	0.023	eV per atom
energy above the most stable polymorph in this dataset	90	meV per atom

Cell and atoms, written as POSCAR:
```
ZnCu4Au
1.0
-0.7104 0.7736 -4.7668
-2.2824 -3.3618 -2.7046
-4.4970 0.8676 -1.6881
Cu Au Zn
4 1 1
direct
0.6247 0.6247 0.6247 Cu
0.6247 0.6247 0.1259 Cu
0.6247 0.1259 0.6247 Cu
0.1259 0.6247 0.6247 Cu
0.0000 0.0000 0.0000 Au
0.2500 0.2500 0.2500 Zn
```